The following is a GGA-PBE calculation of a relaxed structure of As3Ru, from Alexandria via LeMat-Bulk.

a b c (Å): 4.752 4.752 4.752
angles (deg): 126.57 126.57 78.96
Sites, in units of the cell vectors:
As 0.000 0.000 0.000
As 0.250 0.750 0.500
As 0.750 0.250 0.500
Ru 0.500 0.500 0.000

## Properties
The calculation puts the energy of formation at 0.359 eV/atom. As for the total energy: -5.447 eV/atom. The value obtained for the density is 8.1 g cm⁻³. For the excess energy over the best structure of this formula in the dataset, the calculation gives 383 meV per atom. Its space group is No. 139.